Compound: Pm2Pr4Nd3
Source: the Alexandria database
Functional: GGA-PBE
Structure: relaxed

Lattice parameters (Å, degrees): 3.682 3.682 27.578 90.00 90.00 120.00
Element x y z (fractional)
Nd: 0.667 0.333 0.654
Nd: 0.000 0.000 0.984
Pm: 0.667 0.333 0.873
Nd: 0.000 0.000 0.321
Pm: 0.667 0.333 0.088
Pr: 0.000 0.000 0.544
Pr: 0.000 0.000 0.765
Pr: 0.667 0.333 0.215
Pr: 0.667 0.333 0.433

Properties
**Calculated density**: 6.596 g cm⁻³

***

Compound: Pm6Pr3Nd
Source: the Alexandria database
Functional: GGA-PBE
Structure: relaxed

Lattice parameters (Å, degrees): 7.122 13.032 6.812 129.27 121.52 90.00
Element x y z (fractional)
Pm: 0.172 0.689 0.888
Pr: 0.196 0.660 0.393
Pm: 0.330 0.992 0.661
Pm: 0.670 0.008 0.339
Pm: 0.284 0.311 0.112
Pm: 0.716 0.689 0.888
Pr: 0.804 0.340 0.607
Pm: 0.828 0.311 0.112
Nd: 0.500 0.500 0.000
Pr: 0.000 0.000 0.000

Properties
**Calculated density**: 6.609 g cm⁻³

***

no.,ΔE_f (meV/atom)
1,62
2,246